Run 1
Below is crystalline YRuO4 at its relaxed geometry, with properties calculated at the GGA-PBE level.

Output
The calculation puts the size of the total moment at 0.00 Bohr magnetons per cell. The theoretical density is 5.72 g cm⁻³.

Structure (CIF):
```
data_YRuO4
_chemical_formula_sum 'Y4 Ru4 O16'
_space_group_name_H-M_alt 'P 1 21/c 1'
_space_group_IT_number 14
_space_group_name_Hall '-P 2ybc'
_cell_length_a 7.594
_cell_length_b 5.302
_cell_length_c 7.422
_cell_angle_alpha 90.00
_cell_angle_beta 99.55
_cell_angle_gamma 90.00
loop_
_atom_site_label
_atom_site_type_symbol
_atom_site_fract_x
_atom_site_fract_y
_atom_site_fract_z
_atom_site_occupancy
Y1 Y 0.148 0.216 0.394 1
Ru1 Ru 0.342 0.731 0.200 1
O1 O 0.113 0.515 0.173 1
O2 O 0.182 0.006 0.125 1
O3 O 0.334 0.634 0.945 1
O4 O 0.438 0.098 0.808 1
```

=====

Run 2
Below is crystalline YRuO4 at its relaxed geometry, with properties calculated at the GGA-PBE level.

Output
The calculation puts the size of the total moment at 4.44 Bohr magnetons per cell. The theoretical density is 5.79 g cm⁻³.

Structure (CIF):
```
data_YRuO4
_chemical_formula_sum 'Y4 Ru4 O16'
_space_group_name_H-M_alt 'C 1 2/c 1'
_space_group_IT_number 15
_space_group_name_Hall '-C 2yc'
_cell_length_a 6.722
_cell_length_b 10.764
_cell_length_c 4.912
_cell_angle_alpha 90.00
_cell_angle_beta 125.00
_cell_angle_gamma 90.00
loop_
_atom_site_label
_atom_site_type_symbol
_atom_site_fract_x
_atom_site_fract_y
_atom_site_fract_z
_atom_site_occupancy
Y1 Y 0.000 0.139 0.250 1
Ru1 Ru 0.000 0.428 0.750 1
O1 O 0.135 0.302 0.635 1
O2 O 0.249 0.457 0.232 1
```

=====

From most stable to least stable, the computed energies give run 1, run 2.